Entry 1:
DFT (PBE) results for crystalline Dy2YHo at its relaxed geometry.

ΔE_f = 0.021 eV/atom
energy relative to the lowest polymorph listed for this composition = 16 meV/atom

The structure in extended XYZ format:
```
4
Lattice="3.544 0.000 0.000 0.000 3.544 0.000 0.000 0.000 10.031" Properties=species:S:1:pos:R:3 pbc="T T T"
Dy 0.000 0.000 2.487
Dy 0.000 0.000 7.544
Y 1.772 1.772 5.016
Ho 1.772 1.772 0.000
```

***

Entry 2:
DFT (PBE) results for crystalline RbPmGeSe4 at its relaxed geometry.

The structure in extended XYZ format:
```
14
Lattice="6.874 0.000 0.000 0.000 7.074 0.000 -2.930 0.000 9.076" Properties=species:S:1:pos:R:3 pbc="T T T"
Rb 0.400 1.769 3.985
Rb 3.544 5.306 5.091
Pm -0.919 1.769 8.609
Pm 4.863 5.306 0.467
Ge 1.426 5.306 1.558
Ge 2.518 1.769 7.518
Se -2.202 5.306 8.371
Se -0.426 5.306 3.008
Se 1.031 3.606 7.178
Se 1.031 7.005 7.178
Se 2.913 0.069 1.898
Se 2.913 3.468 1.898
Se 4.370 1.769 6.068
Se 6.146 1.769 0.704
```

***

Entry 3:
DFT (PBE) results for crystalline YCrAg2 at its relaxed geometry.

ΔE_f = 0.410 eV/atom
energy relative to the lowest polymorph listed for this composition = 330 meV/atom

The structure in extended XYZ format:
```
4
Lattice="1.596 0.922 9.585 -1.596 0.922 9.585 0.000 -1.843 9.585" Properties=species:S:1:pos:R:3 pbc="T T T"
Y 0.000 0.000 0.000
Cr 0.000 0.000 14.377
Ag 0.000 0.000 7.003
Ag 0.000 0.000 21.751
```

***

Electronic total energy? In order: -5.04; -4.61; -5.04 eV/atom.